No. 1
DFT (GGA-PBE) results for a geometry-optimized NpInNi5 structure. Values from VASP.

## Properties
Its crystal system is orthorhombic. As for the space group: Pnma. The formation energy from the elements comes out at -0.12 eV/atom.

```
&SYSTEM
  ibrav = 0, nat = 28, ntyp = 3
/
ATOMIC_SPECIES
Np 237.00 Np.upf
In 114.82 In.upf
Ni 58.69 Ni.upf
ATOMIC_POSITIONS angstrom
Np 1.951 1.216 0.576
Np 2.077 3.649 5.714
Np 5.978 1.216 4.562
Np 6.104 3.649 9.701
In 1.077 1.216 3.697
In 2.950 3.649 8.835
In 5.105 1.216 1.441
In 6.978 3.649 6.579
Ni 0.425 1.216 6.214
Ni 0.557 2.437 8.357
Ni 0.557 4.862 8.357
Ni 0.742 3.649 0.189
Ni 1.502 3.649 2.493
Ni 2.525 1.216 7.631
Ni 3.285 1.216 5.327
Ni 3.470 0.004 3.219
Ni 3.470 2.429 3.219
Ni 3.603 3.649 1.076
Ni 4.452 1.216 9.200
Ni 4.585 2.437 7.057
Ni 4.585 4.862 7.057
Ni 4.769 3.649 4.949
Ni 5.529 3.649 2.645
Ni 6.553 1.216 7.783
Ni 7.313 1.216 10.087
Ni 7.498 0.004 1.919
Ni 7.498 2.429 1.919
Ni 7.630 3.649 4.062
CELL_PARAMETERS angstrom
8.055 0.000 0.000
0.000 4.866 0.000
0.000 0.000 10.276
```

=====

No. 2
DFT (GGA-PBE) results for a geometry-optimized Ta2AlBi structure. Values from VASP.

## Properties
Its crystal system is cubic. As for the space group: Fm-3m. The formation energy from the elements comes out at 0.52 eV/atom. The value obtained for the energy above the most stable polymorph in this dataset is 0.000 eV/f.u.

```
&SYSTEM
  ibrav = 0, nat = 4, ntyp = 3
/
ATOMIC_SPECIES
Ta 180.95 Ta.upf
Al 26.98 Al.upf
Bi 208.98 Bi.upf
ATOMIC_POSITIONS angstrom
Ta 1.693 1.693 1.693
Ta 5.078 5.078 5.078
Al 0.000 0.000 0.000
Bi 3.385 3.385 3.385
CELL_PARAMETERS angstrom
0.000 3.385 3.385
3.385 0.000 3.385
3.385 3.385 0.000
```

=====

No. 3
DFT (GGA-PBE) results for a geometry-optimized NdBC structure. Values from VASP.

## Properties
Its crystal system is tetragonal. As for the space group: I4mm. The formation energy from the elements comes out at 0.16 eV/atom. The value obtained for the energy above the most stable polymorph in this dataset is 1.577 eV/f.u.

```
&SYSTEM
  ibrav = 0, nat = 3, ntyp = 3
/
ATOMIC_SPECIES
Nd 144.24 Nd.upf
B 10.81 B.upf
C 12.01 C.upf
ATOMIC_POSITIONS angstrom
Nd 0.000 0.000 0.000
B 0.000 0.000 3.990
C 0.000 0.000 2.593
CELL_PARAMETERS angstrom
-1.965 1.965 3.369
1.965 -1.965 3.369
1.965 1.965 -3.369
```